Tm6Ge3Se2S: relaxed, PBE.

Lattice parameters (Å, degrees): 4.051 8.120 9.067 103.30 102.91 90.00
Element x y z (fractional)
S  0.500  0.000  0.000
Tm  0.334  0.926  0.667
Tm  0.996  0.251  0.993
Tm  0.004  0.749  0.007
Tm  0.666  0.074  0.333
Tm  0.337  0.408  0.673
Tm  0.663  0.592  0.327
Ge  0.832  0.165  0.665
Ge  0.500  0.500  0.000
Ge  0.168  0.835  0.335
Se  0.834  0.667  0.668
Se  0.166  0.333  0.332

***

Sr2ScTa: relaxed, PBE.

Lattice parameters (Å, degrees): 5.341 4.761 4.761 90.00 90.00 90.00
Element x y z (fractional)
Sr  0.000  0.000  0.000
Sr  0.000  0.500  0.500
Sc  0.500  0.000  0.500
Ta  0.500  0.500  0.000

Properties
offset from the most stable computed form	8.78	kcal/mol of atoms
formation enthalpy at 0 K	917	meV per atom

***

Pa2ZnPt: relaxed, PBE.

Lattice parameters (Å, degrees): 4.958 4.958 4.958 60.00 60.00 60.00
Element x y z (fractional)
Pa  0.250  0.250  0.250
Pa  0.750  0.750  0.750
Pt  0.500  0.500  0.500
Zn  0.000  0.000  0.000

Properties
offset from the most stable computed form	4.02	kcal/mol of atoms
formation enthalpy at 0 K	-261	meV per atom

***

EuPu2Tl: relaxed, PBE.

Lattice parameters (Å, degrees): 5.199 4.687 4.687 90.00 90.00 90.00
Element x y z (fractional)
Eu  0.500  0.000  0.000
Pu  0.000  0.000  0.500
Pu  0.000  0.500  0.000
Tl  0.500  0.500  0.500

Properties
formation enthalpy at 0 K	59	meV per atom

***

Ti2ZnCd: relaxed, PBE.

Lattice parameters (Å, degrees): 7.511 7.511 5.918 50.61 50.61 90.00
Element x y z (fractional)
Cd  0.750  0.250  0.500
Cd  0.000  0.000  0.000
Ti  0.875  0.858  0.750
Ti  0.608  0.125  0.250
Ti  0.375  0.392  0.750
Ti  0.142  0.625  0.250
Zn  0.250  0.750  0.500
Zn  0.500  0.500  0.000

Properties
offset from the most stable computed form	9.72	kcal/mol of atoms
formation enthalpy at 0 K	341	meV per atom

***

Hf2ScGa: relaxed, PBE.

Lattice parameters (Å, degrees): 4.179 4.184 10.181 101.82 90.00 90.00
Element x y z (fractional)
Hf  0.250  0.559  0.118
Hf  0.750  0.441  0.882
Hf  0.250  0.943  0.886
Hf  0.750  0.057  0.114
Ga  0.750  0.838  0.673
Ga  0.250  0.162  0.327
Sc  0.250  0.308  0.612
Sc  0.750  0.692  0.388

Properties
formation enthalpy at 0 K	-242	meV per atom

***

ReIr3Cl: relaxed, PBE.

Lattice parameters (Å, degrees): 4.786 4.786 4.786 90.00 90.00 90.00
Element x y z (fractional)
Cl  0.500  0.500  0.500
Ir  0.500  0.000  0.000
Ir  0.000  0.000  0.500
Ir  0.000  0.500  0.000
Re  0.000  0.000  0.000

Properties
offset from the most stable computed form	0.00	kcal/mol of atoms

***

Mn2TlZnCl: relaxed, PBE.

Lattice parameters (Å, degrees): 4.401 5.895 4.401 90.00 90.00 90.00
Element x y z (fractional)
Mn  0.000  0.000  0.500
Mn  0.500  0.000  0.000
Tl  0.000  0.500  0.000
Zn  0.500  0.500  0.500
Cl  0.000  0.000  0.000

***

TlAs2Ru: relaxed, PBE.

Lattice parameters (Å, degrees): 4.725 4.725 3.402 90.00 90.00 90.00
Element x y z (fractional)
As  0.000  0.000  0.000
As  0.500  0.500  0.000
Ru  0.500  0.000  0.500
Tl  0.000  0.500  0.500

Properties
offset from the most stable computed form	15.63	kcal/mol of atoms
formation enthalpy at 0 K	643	meV per atom

***

BaY3: relaxed, PBE.

Lattice parameters (Å, degrees): 5.283 5.283 5.283 90.00 90.00 90.00
Element x y z (fractional)
Y  0.500  0.500  0.000
Y  0.500  0.000  0.500
Y  0.000  0.500  0.500
Ba  0.000  0.000  0.000

Properties
offset from the most stable computed form	2.61	kcal/mol of atoms
formation enthalpy at 0 K	255	meV per atom

***

ZnCr2Si: relaxed, PBE.

Lattice parameters (Å, degrees): 4.550 4.550 2.567 90.00 90.00 111.10
Element x y z (fractional)
Cr  0.500  0.500  0.000
Cr  0.000  0.000  0.000
Si  0.500  0.000  0.500
Zn  0.000  0.500  0.500

***

Ba2CaAg: relaxed, PBE.

Lattice parameters (Å, degrees): 7.206 7.206 7.206 137.46 137.46 61.74
Element x y z (fractional)
Ba  0.000  0.000  0.000
Ba  0.250  0.750  0.500
Ag  0.750  0.250  0.500
Ca  0.500  0.500  0.000

Properties
offset from the most stable computed form	4.64	kcal/mol of atoms
formation enthalpy at 0 K	68	meV per atom

***

BaAs2S4: relaxed, PBE.

Lattice parameters (Å, degrees): 6.517 6.517 6.517 104.10 104.10 120.84
Element x y z (fractional)
S  0.316  0.146  0.462
S  0.854  0.316  0.170
S  0.146  0.684  0.830
S  0.684  0.854  0.538
Ba  0.500  0.500  0.000
As  0.250  0.750  0.500
As  0.750  0.250  0.500

***

VRu3: relaxed, PBE.

Lattice parameters (Å, degrees): 4.257 5.470 5.471 120.00 90.00 90.00
Element x y z (fractional)
Ru  0.750  0.830  0.170
Ru  0.750  0.830  0.660
Ru  0.250  0.170  0.340
Ru  0.250  0.660  0.830
Ru  0.250  0.170  0.830
Ru  0.750  0.340  0.170
V  0.250  0.667  0.333
V  0.750  0.333  0.667

Properties
formation enthalpy at 0 K	-106	meV per atom

***

LuThGa: relaxed, PBE.

Lattice parameters (Å, degrees): 3.505 3.505 6.906 104.70 104.70 90.00
Element x y z (fractional)
Th  0.015  0.015  0.030
Ga  0.674  0.674  0.347
Lu  0.311  0.311  0.622

Properties
offset from the most stable computed form	0.00	kcal/mol of atoms
formation enthalpy at 0 K	-283	meV per atom

***

BaRe3Bi: relaxed, PBE.

Lattice parameters (Å, degrees): 5.070 5.070 5.070 90.00 90.00 90.00
Element x y z (fractional)
Re  0.000  0.000  0.500
Re  0.500  0.000  0.000
Re  0.000  0.500  0.000
Ba  0.000  0.000  0.000
Bi  0.500  0.500  0.500

Properties
offset from the most stable computed form	26.20	kcal/mol of atoms
formation enthalpy at 0 K	3612	meV per atom

***

Sr2TmNi3As4: relaxed, PBE.

Lattice parameters (Å, degrees): 4.314 4.314 10.665 90.00 90.00 90.00
Element x y z (fractional)
As  0.000  0.000  0.000
As  0.500  0.500  0.000
As  0.500  0.000  0.660
As  0.000  0.500  0.340
Ni  0.000  0.500  0.104
Ni  0.000  0.000  0.500
Ni  0.500  0.000  0.896
Tm  0.500  0.500  0.500
Sr  0.500  0.000  0.226
Sr  0.000  0.500  0.774

Properties
formation enthalpy at 0 K	-765	meV per atom

***

CsNaPtPb2: relaxed, PBE.

Lattice parameters (Å, degrees): 5.469 5.469 5.872 90.00 90.00 90.00
Element x y z (fractional)
Pt  0.000  0.000  0.000
Cs  0.500  0.500  0.500
Na  0.000  0.000  0.500
Pb  0.000  0.500  0.000
Pb  0.500  0.000  0.000

Properties
formation enthalpy at 0 K	-85	meV per atom

***

BaAc4TmO8: relaxed, PBE.

Lattice parameters (Å, degrees): 7.485 7.485 7.386 59.56 59.56 60.00
Element x y z (fractional)
O  0.256  0.256  0.231
O  0.749  0.749  0.279
O  0.758  0.758  0.727
O  0.749  0.223  0.279
O  0.223  0.749  0.279
O  0.270  0.270  0.730
O  0.731  0.270  0.730
O  0.270  0.731  0.730
Ac  0.492  0.001  0.506
Ac  0.618  0.618  0.146
Ac  0.001  0.001  0.506
Ac  0.001  0.492  0.506
Ba  0.003  0.003  0.991
Tm  0.379  0.379  0.862

***

Zn4InW: relaxed, PBE.

Lattice parameters (Å, degrees): 5.117 5.117 5.117 60.00 60.00 60.00
Element x y z (fractional)
In  0.750  0.750  0.750
W  0.000  0.000  0.000
Zn  0.373  0.880  0.373
Zn  0.880  0.373  0.373
Zn  0.373  0.373  0.880
Zn  0.373  0.373  0.373

Properties
formation enthalpy at 0 K	408	meV per atom

***

Number 1: DFT total energy -5.68 eV per atom. Number 2: DFT total energy -4.47 eV per atom. Number 3: DFT total energy -6.84 eV per atom. Number 4: DFT total energy -10.27 eV per atom. Number 5: DFT total energy -4.15 eV per atom. Number 6: DFT total energy -7.56 eV per atom. Number 7: DFT total energy -6.29 eV per atom. Number 8: DFT total energy -4.09 eV per atom. Number 9: DFT total energy -4.59 eV per atom. Number 10: DFT total energy -5.07 eV per atom. Number 11: DFT total energy -6.37 eV per atom. Number 12: DFT total energy -2.11 eV per atom. Number 13: DFT total energy -4.42 eV per atom. Number 14: DFT total energy -9.34 eV per atom. Number 15: DFT total energy -5.27 eV per atom. Number 16: DFT total energy -5.02 eV per atom. Number 17: DFT total energy -5.14 eV per atom. Number 18: DFT total energy -3.21 eV per atom. Number 19: DFT total energy -7.49 eV per atom. Number 20: DFT total energy -3.06 eV per atom.